The following is a DFT calculation (PBEsol) of Sm2Ge2O7 after structural relaxation.

Unit cell a=10.055 b=10.055 c=10.055 alpha=90.00 beta=90.00 gamma=90.00
Space group Fd-3m (No. 227, origin choice 2)
Inequivalent atoms, fractional coordinates:
Sm: 0.000 0.000 0.000 x16
Ge: 0.000 0.000 0.500 x16
O: 0.076 0.375 0.875 x48
O: 0.125 0.125 0.125 x8

As for the mass density: 7.3 g/cm³. The crystal system is cubic. For the size of the total moment, the calculation gives 0.0 μB/cell. The uncorrected formation energy is -2.606 eV per atom. As for the raw total energy: -7.771 eV/atom.